# 1
VASP calculation (GGA-PBE) on a relaxed Zr3NbCr crystal.

Output
**Calculated formation energy**: 0.73 eV per atom
**Symmetry**: Pm-3m (221)
**Crystal system**: cubic

a = 4.8059 Å, b = 4.8059 Å, c = 4.8059 Å
α = 90.00°, β = 90.00°, γ = 90.00°
With the nearest neighbours (Å) after each atom.
Fractional coordinates of all 5 atoms:
1 Zr 0.5000 0.0000 0.0000  2 Cr 2.40
2 Zr 0.0000 0.0000 0.5000  2 Cr 2.40
3 Zr 0.0000 0.5000 0.0000  2 Cr 2.40
4 Nb 0.5000 0.5000 0.5000  12 Zr 3.40
5 Cr 0.0000 0.0000 0.0000  6 Zr 2.40



# 2
VASP calculation (GGA-PBE) on a relaxed AlAgBi2Ru crystal.

Output
**Calculated formation energy**: 1.16 eV per atom
**Symmetry**: P4/mmm (123)
**Crystal system**: tetragonal

a = 5.3961 Å, b = 4.7127 Å, c = 5.3961 Å
α = 90.00°, β = 90.00°, γ = 90.00°
With the nearest neighbours (Å) after each atom.
Fractional coordinates of all 5 atoms:
1 Al 0.0000 0.0000 0.0000  2 Ag 2.36
2 Bi 0.5000 0.0000 0.0000  2 Al 2.70
3 Bi 0.0000 0.0000 0.5000  2 Al 2.70
4 Ag 0.0000 0.5000 0.0000  2 Al 2.36
5 Ru 0.5000 0.5000 0.5000  8 Bi 3.58, 4 Ag 3.82



# 3
VASP calculation (GGA-PBE) on a relaxed CdTe3 crystal.

Output
**E_form (uncorrected)**: -0.01 eV/atom
**Symmetry**: Pmmn (59)
**Crystal system**: orthorhombic

a = 5.2391 Å, b = 6.1523 Å, c = 9.4606 Å
α = 90.00°, β = 90.00°, γ = 90.00°
With the nearest neighbours (Å) after each atom.
Fractional coordinates of all 8 atoms:
1 Te 0.0000 0.7505 0.0658  4 Te 2.90-3.08
2 Te 0.5000 0.7495 0.9342  4 Te 2.90-3.08
3 Te 0.0000 0.2495 0.0658  4 Te 2.90-3.08
4 Te 0.5000 0.0000 0.3976  4 Cd 2.89-3.16
5 Te 0.0000 0.5000 0.6024  4 Cd 2.89-3.16
6 Te 0.5000 0.2505 0.9342  4 Te 2.90-3.08
7 Cd 0.0000 0.0000 0.5266  4 Te 2.89-3.16
8 Cd 0.5000 0.5000 0.4734  4 Te 2.89-3.16



# 4
VASP calculation (GGA-PBE) on a relaxed GeBSCl2 crystal.

Output
**E_form (uncorrected)**: 0.75 eV/atom
**Symmetry**: P4/mmm (123)
**Crystal system**: tetragonal

a = 4.9689 Å, b = 4.9689 Å, c = 4.7434 Å
α = 90.00°, β = 90.00°, γ = 90.00°
With the nearest neighbours (Å) after each atom.
Fractional coordinates of all 5 atoms:
1 Cl 0.5000 0.0000 0.0000  2 Ge 2.48
2 Cl 0.0000 0.5000 0.0000  2 Ge 2.48
3 B 0.5000 0.5000 0.5000  8 Cl 3.43, 4 S 3.51
4 Ge 0.0000 0.0000 0.0000  2 S 2.37, 4 Cl 2.48
5 S 0.0000 0.0000 0.5000  2 Ge 2.37



# 5
VASP calculation (GGA-PBE) on a relaxed SrSc2Cd crystal.

Output
**Calculated formation energy**: 0.12 eV per atom
**Symmetry**: Imm2 (44)
**Crystal system**: orthorhombic

a = 6.4229 Å, b = 6.4229 Å, c = 6.4229 Å
α = 145.23°, β = 131.12°, γ = 61.37°
With the nearest neighbours (Å) after each atom.
Fractional coordinates of all 4 atoms:
1 Cd 0.2336 0.7336 0.5000  6 Sc 2.97-3.29, 2 Sr 3.31
2 Sc 0.7601 0.2601 0.5000  4 Cd 3.29, 2 Sc 3.53, 4 Sr 3.58-3.66
3 Sc 0.0286 0.0286 0.0000  2 Cd 2.97
4 Sr 0.4777 0.4777 0.0000  2 Cd 3.31, 8 Sc 3.33-3.66



# 6
VASP calculation (GGA-PBE) on a relaxed KLa2Mg crystal.

Output
**Calculated formation energy**: 0.21 eV per atom
**Symmetry**: Cmmm (65)
**Crystal system**: orthorhombic

a = 3.5386 Å, b = 3.5386 Å, c = 12.9809 Å
α = 90.00°, β = 90.00°, γ = 110.97°
With the nearest neighbours (Å) after each atom.
Fractional coordinates of all 4 atoms:
1 Mg 0.5000 0.5000 0.2500  4 La 3.38, 4 Mg 3.54
2 La 0.0000 0.0000 0.0406  2 Mg 3.38, 4 La 3.54
3 La 0.0000 0.0000 0.4594  2 Mg 3.38, 4 La 3.54
4 K 0.5000 0.5000 0.7500  4 K 3.54



# 7
VASP calculation (GGA-PBE) on a relaxed La3Tb2Pr6Mg crystal.

Output
**Calculated formation energy**: 0.03 eV per atom
**Symmetry**: C2/m (12)
**Crystal system**: monoclinic

a = 6.3591 Å, b = 6.3591 Å, c = 12.0693 Å
α = 95.09°, β = 95.09°, γ = 120.11°
With the nearest neighbours (Å) after each atom.
Fractional coordinates of all 12 atoms:
1 La 0.1685 0.8315 0.5000  6 La 3.65-3.71, 6 Pr 3.71-3.72
2 La 0.8315 0.1685 0.5000  6 La 3.65-3.71, 6 Pr 3.71-3.72
3 La 0.5000 0.5000 0.5000  6 La 3.65-3.68, 6 Pr 3.71
4 Mg 0.0000 0.0000 0.0000  6 Pr 3.57-3.59, 6 Tb 3.67
5 Tb 0.3334 0.6666 0.0000  6 Pr 3.58-3.60, 3 Mg 3.67, 3 Tb 3.67
6 Tb 0.6666 0.3334 0.0000  6 Pr 3.58-3.60, 3 Mg 3.67, 3 Tb 3.67
7 Pr 0.4105 0.0794 0.2430  1 Mg 3.57, 2 Tb 3.58-3.59, 6 Pr 3.64-3.69, 3 La 3.71-3.72
8 Pr 0.5895 0.9206 0.7570  1 Mg 3.57, 2 Tb 3.58-3.59, 6 Pr 3.64-3.69, 3 La 3.71-3.72
9 Pr 0.2509 0.2509 0.7554  1 Mg 3.59, 2 Tb 3.60, 6 Pr 3.64-3.69, 3 La 3.71
10 Pr 0.0794 0.4105 0.2430  1 Mg 3.57, 2 Tb 3.58-3.59, 6 Pr 3.64-3.69, 3 La 3.71-3.72
11 Pr 0.9206 0.5895 0.7570  1 Mg 3.57, 2 Tb 3.58-3.59, 6 Pr 3.64-3.69, 3 La 3.71-3.72
12 Pr 0.7491 0.7491 0.2446  1 Mg 3.59, 2 Tb 3.60, 6 Pr 3.64-3.69, 3 La 3.71



# 8
VASP calculation (GGA-PBE) on a relaxed Li2SiSnSe4 crystal.

Output
**E_form (uncorrected)**: -0.74 eV/atom
**Symmetry**: Fmm2 (42)
**Crystal system**: orthorhombic

a = 6.1793 Å, b = 6.1793 Å, c = 6.6640 Å
α = 112.04°, β = 112.04°, γ = 100.99°
With the nearest neighbours (Å) after each atom.
Fractional coordinates of all 8 atoms:
1 Sn 0.0387 0.0387 0.0773  4 Se 2.83-2.96
2 Si 0.4967 0.4967 0.9935  4 Se 2.28-2.33
3 Se 0.1298 0.1298 0.7243  1 Si 2.33
4 Se 0.4107 0.8122 0.2229  1 Si 2.28
5 Se 0.8122 0.4107 0.2229  1 Si 2.28
6 Se 0.5945 0.5945 0.7243  1 Si 2.33
7 Li 0.7588 0.2588 0.5176  4 Se 2.57-2.63
8 Li 0.2588 0.7588 0.5176  4 Se 2.57-2.63



One value per record, in order, for total DFT energy (no corrections): -8.34 -3.57 -2.60 -3.07 -3.69 -2.92 -4.50 -4.14 eV per atom.